Version a
## NaCaAlF6 (PBE)

Data for a geometry-optimized NaCaAlF6 structure.

Unit cell a=9.0628 b=9.0628 c=5.1074 alpha=90.00 beta=90.00 gamma=120.00
Space group P321 (No. 150)
Asymmetric unit:
Na 0.0000 0.7116 0.0000 (multiplicity 3)
Ca 0.0000 0.3706 0.5000 (multiplicity 3)
Al 0.0000 0.0000 0.5000 (multiplicity 1)
Al 0.3333 0.6667 0.9971 (multiplicity 2)
F 0.0850 0.1934 0.7004 (multiplicity 6)
F 0.1434 0.5884 0.7885 (multiplicity 6)
F 0.2229 0.4764 0.2051 (multiplicity 6)

Output
- spin magnetization (μB per formula unit) = 0.00

Version b
## NaCaAlF6 (PBE)

Data for a geometry-optimized NaCaAlF6 structure.

Unit cell a=8.8589 b=5.2552 c=20.5667 alpha=90.00 beta=91.85 gamma=90.00
Space group P2_1/c (No. 14)
Asymmetric unit:
Na 0.0230 0.2392 0.3182 (multiplicity 4)
Na 0.0419 0.2061 0.0629 (multiplicity 4)
Ca 0.3628 0.2411 0.6886 (multiplicity 4)
Ca 0.3663 0.1874 0.9359 (multiplicity 4)
Al 0.2562 0.6895 0.0718 (multiplicity 4)
Al 0.2562 0.7475 0.3195 (multiplicity 4)
F 0.0823 0.7176 0.5323 (multiplicity 4)
F 0.0957 0.6367 0.7743 (multiplicity 4)
F 0.1534 0.5540 0.3800 (multiplicity 4)
F 0.1603 0.0092 0.6316 (multiplicity 4)
F 0.2357 0.5351 0.6263 (multiplicity 4)
F 0.2422 0.0200 0.3733 (multiplicity 4)
F 0.2545 0.0392 0.7694 (multiplicity 4)
F 0.2658 0.0940 0.5192 (multiplicity 4)
F 0.3762 0.6320 0.5166 (multiplicity 4)
F 0.3932 0.5900 0.7663 (multiplicity 4)
F 0.4284 0.6220 0.3633 (multiplicity 4)
F 0.4335 0.5970 0.1142 (multiplicity 4)

Output
- spin magnetization (μB per formula unit) = 0.06

Version c
## NaCaAlF6 (PBE)

Data for a geometry-optimized NaCaAlF6 structure.

Unit cell a=5.5608 b=5.5608 c=9.1934 alpha=90.00 beta=90.00 gamma=120.00
Space group P-31c (No. 163)
Asymmetric unit:
Na 0.0000 0.0000 0.0000 (multiplicity 2)
Ca 0.3333 0.6667 0.2500 (multiplicity 2)
Al 0.3333 0.6667 0.7500 (multiplicity 2)
F 0.0588 0.3926 0.6384 (multiplicity 12)

Output
- spin magnetization (μB per formula unit) = 0.00

Most stable structure, least stable structure: version a, version c.